1.
ReNiSnMo | the Open Quantum Materials Database | PBE | relaxed; total magnetic moment = 0.4 μB/f.u.; volume = 15.451 A^3/atom; raw total energy = -7.9033 eV/atom; symmetry = F-43m, No. 216
1.0
0.000 3.138 3.138
3.138 0.000 3.138
3.138 3.138 0.000
Re Ni Sn Mo
1 1 1 1
Direct
0.000 0.000 0.000
0.750 0.750 0.750
0.500 0.500 0.500
0.250 0.250 0.250


2.
ZnReNiMo | the Open Quantum Materials Database | PBE | relaxed; total magnetic moment = 0.0 μB/f.u.; volume = 14.005 A^3/atom; raw total energy = -7.3200 eV/atom; symmetry = F-43m, No. 216
1.0
0.000 3.037 3.037
3.037 0.000 3.037
3.037 3.037 0.000
Zn Re Ni Mo
1 1 1 1
Direct
0.000 0.000 0.000
0.500 0.500 0.500
0.250 0.250 0.250
0.750 0.750 0.750


3.
NiMo3S6 | the Open Quantum Materials Database | PBE | relaxed; total magnetic moment = 0.0 μB/f.u.; volume = 16.360 A^3/atom; raw total energy = -6.7918 eV/atom; symmetry = R-3, No. 148
1.0
2.821 1.629 5.934
-2.821 1.629 5.934
0.000 -3.258 5.934
Ni Mo S
1 3 6
Direct
0.000 0.000 0.000
0.169 0.169 0.169
0.500 0.500 0.500
0.831 0.831 0.831
0.081 0.742 0.413
0.258 0.587 0.919
0.413 0.081 0.742
0.587 0.919 0.258
0.742 0.413 0.081
0.919 0.258 0.587


4.
Ni6SbMo | the Open Quantum Materials Database | PBE | relaxed; total magnetic moment = 0.0 μB/f.u.; volume = 12.304 A^3/atom; raw total energy = -6.1373 eV/atom; symmetry = Pmm2, No. 25
1.0
4.251 0.000 0.000
0.000 5.141 0.000
0.000 0.000 4.504
Ni Sb Mo
6 1 1
Direct
0.000 0.000 0.000
0.000 0.242 0.502
0.000 0.758 0.502
0.500 0.246 0.823
0.500 0.500 0.344
0.500 0.754 0.823
0.000 0.500 0.007
0.500 0.000 0.329


5.
NiSb2Mo | the Open Quantum Materials Database | PBE | relaxed; total magnetic moment = 0.0 μB/f.u.; volume = 19.939 A^3/atom; raw total energy = -5.6242 eV/atom; symmetry = Cmcm, No. 63
1.0
1.729 -2.522 0.000
1.729 2.522 0.000
0.000 0.000 18.289
Ni Sb Mo
2 4 2
Direct
0.000 0.000 0.000
0.000 0.000 0.500
0.342 0.658 0.602
0.342 0.658 0.898
0.658 0.342 0.102
0.658 0.342 0.398
0.340 0.660 0.750
0.660 0.340 0.250


6.
TaNiSbMo | the Open Quantum Materials Database | PBE | relaxed; total magnetic moment = 0.0 μB/f.u.; volume = 16.358 A^3/atom; raw total energy = -7.9515 eV/atom; symmetry = F-43m, No. 216
1.0
0.000 3.198 3.198
3.198 0.000 3.198
3.198 3.198 0.000
Ta Ni Sb Mo
1 1 1 1
Direct
0.000 0.000 0.000
0.750 0.750 0.750
0.500 0.500 0.500
0.250 0.250 0.250


7.
NiSbMoW | the Open Quantum Materials Database | PBE | relaxed; total magnetic moment = 0.0 μB/f.u.; volume = 15.845 A^3/atom; raw total energy = -7.9912 eV/atom; symmetry = F-43m, No. 216
1.0
0.000 3.165 3.165
3.165 0.000 3.165
3.165 3.165 0.000
Ni Sb Mo W
1 1 1 1
Direct
0.000 0.000 0.000
0.750 0.750 0.750
0.500 0.500 0.500
0.250 0.250 0.250


8.
ZnNiSbMo | the Open Quantum Materials Database | PBE | relaxed; total magnetic moment = 0.0 μB/f.u.; volume = 15.568 A^3/atom; raw total energy = -5.2568 eV/atom; symmetry = F-43m, No. 216
1.0
0.000 3.146 3.146
3.146 0.000 3.146
3.146 3.146 0.000
Zn Ni Sb Mo
1 1 1 1
Direct
0.000 0.000 0.000
0.750 0.750 0.750
0.500 0.500 0.500
0.250 0.250 0.250


9.
ZrNiSbMo | the Open Quantum Materials Database | PBE | relaxed; total magnetic moment = 0.0 μB/f.u.; volume = 17.156 A^3/atom; raw total energy = -7.3103 eV/atom; symmetry = F-43m, No. 216
1.0
0.000 3.249 3.249
3.249 0.000 3.249
3.249 3.249 0.000
Zr Ni Sb Mo
1 1 1 1
Direct
0.000 0.000 0.000
0.750 0.750 0.750
0.500 0.500 0.500
0.250 0.250 0.250


10.
ScNiSnMo | the Open Quantum Materials Database | PBE | relaxed; total magnetic moment = 0.8 μB/f.u.; volume = 16.961 A^3/atom; raw total energy = -6.7111 eV/atom; symmetry = F-43m, No. 216
1.0
0.000 3.237 3.237
3.237 0.000 3.237
3.237 3.237 0.000
Sc Ni Sn Mo
1 1 1 1
Direct
0.000 0.000 0.000
0.750 0.750 0.750
0.500 0.500 0.500
0.250 0.250 0.250


11.
ScTlNiMo | the Open Quantum Materials Database | PBE | relaxed; total magnetic moment = 1.9 μB/f.u.; volume = 17.687 A^3/atom; raw total energy = -5.9341 eV/atom; symmetry = F-43m, No. 216
1.0
0.000 3.283 3.283
3.283 0.000 3.283
3.283 3.283 0.000
Sc Tl Ni Mo
1 1 1 1
Direct
0.000 0.000 0.000
0.500 0.500 0.500
0.750 0.750 0.750
0.250 0.250 0.250


12.
ScZnNiMo | the Open Quantum Materials Database | PBE | relaxed; total magnetic moment = 2.8 μB/f.u.; volume = 15.608 A^3/atom; raw total energy = -5.8591 eV/atom; symmetry = F-43m, No. 216
1.0
0.000 3.149 3.149
3.149 0.000 3.149
3.149 3.149 0.000
Sc Zn Ni Mo
1 1 1 1
Direct
0.000 0.000 0.000
0.500 0.500 0.500
0.750 0.750 0.750
0.250 0.250 0.250


13.
SiNiMo | the Open Quantum Materials Database | PBE | relaxed; total magnetic moment = 0.0 μB/f.u.; volume = 12.736 A^3/atom; raw total energy = -7.7692 eV/atom; symmetry = Pnma, No. 62
1.0
6.016 0.000 0.000
0.000 3.613 0.000
0.000 0.000 7.032
Si Ni Mo
4 4 4
Direct
0.224 0.250 0.122
0.276 0.750 0.622
0.724 0.250 0.378
0.776 0.750 0.878
0.152 0.750 0.934
0.348 0.250 0.434
0.652 0.750 0.566
0.848 0.250 0.066
0.021 0.750 0.330
0.479 0.250 0.830
0.521 0.750 0.170
0.979 0.250 0.670


14.
SiNiMo | the Open Quantum Materials Database | PBE | relaxed; total magnetic moment = 0.0 μB/f.u.; volume = 12.755 A^3/atom; raw total energy = -7.7694 eV/atom; symmetry = Pnma, No. 62
1.0
6.020 0.000 0.000
0.000 3.609 0.000
0.000 0.000 7.045
Si Ni Mo
4 4 4
Direct
0.224 0.250 0.122
0.276 0.750 0.622
0.724 0.250 0.378
0.776 0.750 0.878
0.152 0.750 0.934
0.348 0.250 0.434
0.652 0.750 0.566
0.848 0.250 0.066
0.022 0.750 0.329
0.478 0.250 0.829
0.522 0.750 0.171
0.978 0.250 0.671


15.
TaSiNiMo | the Open Quantum Materials Database | PBE | relaxed; total magnetic moment = 0.0 μB/f.u.; volume = 14.291 A^3/atom; raw total energy = -8.5434 eV/atom; symmetry = F-43m, No. 216
1.0
0.000 3.057 3.057
3.057 0.000 3.057
3.057 3.057 0.000
Ta Si Ni Mo
1 1 1 1
Direct
0.000 0.000 0.000
0.500 0.500 0.500
0.750 0.750 0.750
0.250 0.250 0.250


16.
YSiNiMo | the Open Quantum Materials Database | PBE | relaxed; total magnetic moment = 0.0 μB/f.u.; volume = 16.090 A^3/atom; raw total energy = -6.9966 eV/atom; symmetry = F-43m, No. 216
1.0
0.000 3.181 3.181
3.181 0.000 3.181
3.181 3.181 0.000
Y Si Ni Mo
1 1 1 1
Direct
0.000 0.000 0.000
0.500 0.500 0.500
0.750 0.750 0.750
0.250 0.250 0.250


17.
ZrSiNiMo | the Open Quantum Materials Database | PBE | relaxed; total magnetic moment = 0.0 μB/f.u.; volume = 15.216 A^3/atom; raw total energy = -7.7467 eV/atom; symmetry = F-43m, No. 216
1.0
0.000 3.122 3.122
3.122 0.000 3.122
3.122 3.122 0.000
Zr Si Ni Mo
1 1 1 1
Direct
0.000 0.000 0.000
0.500 0.500 0.500
0.750 0.750 0.750
0.250 0.250 0.250


18.
Ni2SnMo | the Open Quantum Materials Database | PBE | relaxed; total magnetic moment = 0.9 μB/f.u.; volume = 14.623 A^3/atom; raw total energy = -6.3127 eV/atom; symmetry = F-43m, No. 216
1.0
0.000 3.081 3.081
3.081 0.000 3.081
3.081 3.081 0.000
Ni Sn Mo
2 1 1
Direct
0.000 0.000 0.000
0.250 0.250 0.250
0.750 0.750 0.750
0.500 0.500 0.500


19.
NiSnMo | the Open Quantum Materials Database | PBE | relaxed; total magnetic moment = 1.9 μB/f.u.; volume = 17.391 A^3/atom; raw total energy = -6.5949 eV/atom; symmetry = F-43m, No. 216
1.0
0.000 2.966 2.966
2.966 0.000 2.966
2.966 2.966 0.000
Ni Sn Mo
1 1 1
Direct
0.000 0.000 0.000
0.250 0.250 0.250
0.750 0.750 0.750


20.
NiSnMo2 | the Open Quantum Materials Database | PBE | relaxed; total magnetic moment = 0.6 μB/f.u.; volume = 15.852 A^3/atom; raw total energy = -7.5896 eV/atom; symmetry = F-43m, No. 216
1.0
0.000 3.165 3.165
3.165 0.000 3.165
3.165 3.165 0.000
Ni Sn Mo
1 1 2
Direct
0.000 0.000 0.000
0.750 0.750 0.750
0.250 0.250 0.250
0.500 0.500 0.500